# 1
Here is Li2Cu5Ge2 after structural relaxation from Alexandria. Energies are from GGA-PBE.

a = 4.208 Å, b = 7.347 Å, c = 8.589 Å
α = 115.32°, β = 104.18°, γ = 90.00°
Positions (direct):
Cu 0.419 0.624 0.837
Cu 0.165 0.034 0.330
Cu 0.751 0.286 0.500
Ge 0.500 0.371 0.000
Cu 0.919 0.124 0.837
Ge 0.251 0.453 0.500
Cu 0.335 0.204 0.670
Ge 0.749 0.953 0.500
Li 0.415 0.953 0.830
Cu 0.835 0.704 0.670
Li 0.585 0.123 0.170
Cu 0.249 0.786 0.500
Cu 0.081 0.287 0.163
Ge 0.000 0.871 0.000
Cu 0.581 0.787 0.163
Cu 0.665 0.534 0.330
Li 0.915 0.453 0.830
Li 0.085 0.623 0.170

SG: No. 46
Calculated formation energy: -106.0 meV per atom
Energy above the most stable polymorph in this dataset: 0.0 meV/atom

# 2
Here is La2CoAgPb after structural relaxation from Alexandria. Energies are from GGA-PBE.

a = 5.322 Å, b = 5.322 Å, c = 4.947 Å
α = 90.00°, β = 90.00°, γ = 90.00°
Positions (direct):
Pb 0.000 0.000 0.500
Co 0.000 0.000 0.000
La 0.500 0.000 0.000
Ag 0.500 0.500 0.500
La 0.000 0.500 0.000

SG: No. 123
Calculated formation energy: -190.5 meV per atom
Energy above the most stable polymorph in this dataset: 15.1 meV/atom

# 3
Here is CuReSb2 after structural relaxation from Alexandria. Energies are from GGA-PBE.

a = 10.359 Å, b = 10.359 Å, c = 10.359 Å
α = 17.41°, β = 17.41°, γ = 17.41°
Positions (direct):
Re 0.760 0.760 0.760
Sb 0.224 0.224 0.224
Sb 0.026 0.026 0.026
Cu 0.490 0.490 0.490

SG: No. 160
Formation energy without anion corrections: 0.5246 eV/atom
Energy above the most stable polymorph in this dataset: 202.6 meV/atom

# 4
Here is NaLi2GaAg after structural relaxation from Alexandria. Energies are from GGA-PBE.

a = 4.900 Å, b = 5.412 Å, c = 4.900 Å
α = 90.00°, β = 90.00°, γ = 90.00°
Site moments in Bohr magnetons follow the coordinates.
Positions (direct):
Li 0.500 0.000 0.000  0.03
Ga 0.000 0.000 0.000  0.22
Ag 0.500 0.500 0.500  0.00
Li 0.000 0.000 0.500  0.07
Na 0.000 0.500 0.000  0.00

SG: No. 123
Calculated formation energy: 332.6 meV per atom

# 5
Here is NbCoPCl2 after structural relaxation from Alexandria. Energies are from GGA-PBE.

a = 4.792 Å, b = 4.792 Å, c = 5.013 Å
α = 90.00°, β = 90.00°, γ = 90.00°
Site moments in Bohr magnetons follow the coordinates.
Positions (direct):
Cl 0.500 0.000 0.000  0.01
P 0.000 0.000 0.500  -0.02
Cl 0.000 0.500 0.000  0.01
Nb 0.000 0.000 0.000  0.02
Co 0.500 0.500 0.500  2.25

SG: No. 123
Formation energy without anion corrections: 0.4013 eV/atom
Energy above the most stable polymorph in this dataset: 0.0 meV/atom

# 6
Here is K2ScPbBr after structural relaxation from Alexandria. Energies are from GGA-PBE.

a = 6.726 Å, b = 5.531 Å, c = 6.726 Å
α = 90.00°, β = 90.00°, γ = 90.00°
Positions (direct):
Sc 0.000 0.500 0.000
Pb 0.000 0.000 0.000
K 0.000 0.000 0.500
Br 0.500 0.500 0.500
K 0.500 0.000 0.000

SG: No. 123
Formation energy without anion corrections: -0.1646 eV/atom

# 7
Here is Tb3Sm2Hg6 after structural relaxation from Alexandria. Energies are from GGA-PBE.

a = 5.096 Å, b = 5.096 Å, c = 13.991 Å
α = 100.49°, β = 100.49°, γ = 90.00°
Site moments in Bohr magnetons follow the coordinates.
Positions (direct):
Hg 0.250 0.250 0.500  0.00
Hg 0.935 0.435 0.869  0.00
Hg 0.750 0.750 0.500  0.00
Tb 0.134 0.134 0.269  0.07
Hg 0.435 0.935 0.869  0.00
Hg 0.065 0.565 0.131  0.00
Tb 0.000 0.000 0.000  -0.01
Sm 0.367 0.367 0.734  0.06
Tb 0.866 0.866 0.731  0.07
Sm 0.633 0.633 0.266  0.06
Hg 0.565 0.065 0.131  0.00

SG: No. 139
Calculated formation energy: -110.9 meV per atom

# 8
Here is Hf6Mn2Ir after structural relaxation from Alexandria. Energies are from GGA-PBE.

a = 7.606 Å, b = 7.606 Å, c = 7.606 Å
α = 108.71°, β = 112.04°, γ = 107.69°
Positions (direct):
Hf 0.290 0.608 0.318
Hf 0.710 0.028 0.318
Mn 0.632 0.000 0.632
Mn 0.500 0.386 0.886
Mn 0.368 0.000 0.368
Hf 0.802 0.753 0.555
Hf 0.198 0.753 0.952
Hf 0.458 0.272 0.186
Ir 0.000 0.500 0.500
Hf 0.802 0.247 0.048
Hf 0.915 0.728 0.186
Hf 0.710 0.392 0.682
Mn 0.500 0.614 0.114
Hf 0.198 0.247 0.445
Hf 0.542 0.728 0.814
Ir 0.000 0.000 0.000
Hf 0.290 0.972 0.682
Hf 0.085 0.272 0.814

SG: No. 71
Calculated formation energy: -300.0 meV per atom

# 9
Here is Co2SbPt after structural relaxation from Alexandria. Energies are from GGA-PBE.

a = 3.913 Å, b = 3.685 Å, c = 3.913 Å
α = 90.00°, β = 90.00°, γ = 90.00°
Site moments in Bohr magnetons follow the coordinates.
Positions (direct):
Sb 0.500 0.625 0.875  -0.04
Co 0.500 0.125 0.375  0.55
Co 0.000 0.125 0.875  0.55
Pt 0.000 0.625 0.375  0.03

SG: No. 123
Formation energy without anion corrections: -0.0370 eV/atom

# 10
Here is CdGePd5 after structural relaxation from Alexandria. Energies are from GGA-PBE.

a = 4.069 Å, b = 4.069 Å, c = 7.010 Å
α = 90.00°, β = 90.00°, γ = 90.00°
Positions (direct):
Cd 0.000 0.000 0.500
Pd 0.000 0.500 0.790
Pd 0.500 0.000 0.210
Pd 0.500 0.500 0.500
Pd 0.500 0.000 0.790
Pd 0.000 0.500 0.210
Ge 0.500 0.500 0.000

SG: No. 123
Calculated formation energy: -380.6 meV per atom
Energy above the most stable polymorph in this dataset: 0.0 meV/atom

# 11
Here is KTa2Mo after structural relaxation from Alexandria. Energies are from GGA-PBE.

a = 4.451 Å, b = 2.915 Å, c = 8.005 Å
α = 78.98°, β = 90.00°, γ = 90.00°
Positions (direct):
Ta 0.500 0.312 0.149
Mo 0.500 0.700 0.850
Ta 0.000 0.963 0.993
K 0.000 0.525 0.507

SG: No. 6
Calculated formation energy: 797.5 meV per atom
Energy above the most stable polymorph in this dataset: 216.5 meV/atom

# 12
Here is La2Rh2Cl after structural relaxation from Alexandria. Energies are from GGA-PBE.

a = 5.442 Å, b = 5.442 Å, c = 5.615 Å
α = 61.01°, β = 61.01°, γ = 90.00°
Positions (direct):
Cl 0.000 0.000 0.000
Rh 0.341 0.341 0.319
La 0.250 0.750 0.500
La 0.750 0.250 0.500
Rh 0.659 0.659 0.681

SG: No. 139
Formation energy without anion corrections: -0.7928 eV/atom

Number 1: spin magnetization 0.00 μB/cell, energy -3.83 eV per atom, density of states at the Fermi level 0.135 states/eV per atom. Number 2: spin magnetization 0.00 μB/cell, energy -4.89 eV per atom, density of states at the Fermi level 1.002 states/eV per atom. Number 3: spin magnetization 0.00 μB/cell, energy -5.67 eV per atom, density of states at the Fermi level 1.059 states/eV per atom. Number 4: spin magnetization 0.71 μB/cell, energy -1.87 eV per atom, density of states at the Fermi level 0.547 states/eV per atom. Number 5: spin magnetization 2.41 μB/cell, energy -4.85 eV per atom, density of states at the Fermi level 1.612 states/eV per atom. Number 6: spin magnetization 0.00 μB/cell, energy -2.95 eV per atom, density of states at the Fermi level 0.126 states/eV per atom. Number 7: spin magnetization 0.38 μB/cell, energy -2.40 eV per atom, density of states at the Fermi level 0.816 states/eV per atom. Number 8: spin magnetization 0.00 μB/cell, energy -9.96 eV per atom, density of states at the Fermi level 0.702 states/eV per atom. Number 9: spin magnetization 1.01 μB/cell, energy -6.13 eV per atom, density of states at the Fermi level 0.790 states/eV per atom. Number 10: spin magnetization 0.00 μB/cell, energy -4.88 eV per atom, density of states at the Fermi level 0.560 states/eV per atom. Number 11: spin magnetization 0.00 μB/cell, energy -8.11 eV per atom, density of states at the Fermi level 1.062 states/eV per atom. Number 12: spin magnetization 0.00 μB/cell, energy -6.07 eV per atom, density of states at the Fermi level 0.476 states/eV per atom.